VASP calculation (PBE-GGA) on a relaxed structure of CeZrBi2.

abc: 5.3709 5.3709 5.3709
angles: 60.00 60.00 60.00
Last column: nearest neighbours and their distance in Å.
Positions (direct):
Bi  0.2500  0.2500  0.2500  4 Ce 3.29, 4 Zr 3.29
Zr  0.0000  0.0000  0.0000  8 Bi 3.29
Bi  0.7500  0.7500  0.7500  4 Zr 3.29, 4 Ce 3.29
Ce  0.5000  0.5000  0.5000  8 Bi 3.29

Output
Its relative energy among the computed polymorphs is 0.10 eV per formula unit. The total magnetization comes out at 1.948 μB/f.u. The value obtained for the density of states at the Fermi level is 1.038 states/eV/atom. The value obtained for the formation energy is -0.4200 eV per atom.


VASP calculation (PBE-GGA) on a relaxed structure of Ba2MgZn2.

abc: 4.1500 4.1500 10.6850
angles: 78.80 78.80 90.00
Last column: nearest neighbours and their distance in Å.
Positions (direct):
Zn  0.2500  0.7500  0.5000  4 Zn 2.93
Ba  0.6153  0.6153  0.7694  4 Zn 3.46, 4 Mg 3.77
Zn  0.7500  0.2500  0.5000  4 Zn 2.93
Ba  0.3847  0.3847  0.2306  4 Zn 3.46, 4 Mg 3.77
Mg  0.0000  0.0000  0.0000  8 Ba 3.77, 4 Mg 4.15

Output
Its relative energy among the computed polymorphs is 0.85 eV per formula unit. The total magnetization comes out at 0.000 μB/f.u. The value obtained for the density of states at the Fermi level is 1.011 states/eV/atom. The value obtained for the formation energy is 0.0309 eV per atom.


VASP calculation (PBE-GGA) on a relaxed structure of PmNbNiN3.

abc: 3.2354 6.7188 7.2353
angles: 105.54 90.00 90.00
Last column: nearest neighbours and their distance in Å.
Positions (direct):
Ni  0.2500  0.1090  0.5889  3 N 1.92-2.00
N  0.2500  0.1179  0.8680  1 Ni 2.00, 2 Nb 2.17
N  0.7500  0.8821  0.1320  1 Ni 2.00, 2 Nb 2.17
N  0.7500  0.4465  0.1481  3 Nb 2.15-2.22
Pm  0.2500  0.2027  0.2272  7 N 2.48-2.63
Nb  0.2500  0.6754  0.1584  6 N 2.15-2.27
N  0.7500  0.2234  0.5166  2 Ni 1.92
N  0.2500  0.5535  0.8519  3 Nb 2.15-2.22
Nb  0.7500  0.3246  0.8416  6 N 2.15-2.27
Pm  0.7500  0.7973  0.7728  7 N 2.48-2.63
N  0.2500  0.7766  0.4834  2 Ni 1.92
Ni  0.7500  0.8910  0.4111  3 N 1.92-2.00

Output
Its uncorrected formation energy is -74.6 kJ per mole of atoms. The total magnetization comes out at 0.000 μB/f.u. The value obtained for the density of states at the Fermi level is 0.481 states/eV/atom.


VASP calculation (PBE-GGA) on a relaxed structure of CeSm2Tm3S6.

abc: 3.8903 7.9458 8.8246
angles: 104.17 102.73 90.00
Last column: nearest neighbours and their distance in Å.
Positions (direct):
Sm  0.1655  0.3309  0.3310  6 S 2.82-2.85
S  0.0037  0.7393  0.0073  3 Tm 2.71, 1 Sm 2.82, 2 Ce 2.85
S  0.9963  0.2607  0.9927  3 Tm 2.71, 1 Sm 2.82, 2 Ce 2.85
Ce  0.5000  0.0000  0.0000  6 S 2.85-2.86
Tm  0.1664  0.8351  0.3327  6 S 2.71-2.73
Tm  0.5000  0.5000  0.0000  6 S 2.71-2.73
Tm  0.8336  0.1649  0.6673  6 S 2.71-2.73
S  0.3289  0.9250  0.6578  3 Tm 2.71, 2 Sm 2.83, 1 Ce 2.86
S  0.6638  0.5929  0.3275  3 Tm 2.73, 3 Sm 2.85
S  0.3362  0.4071  0.6725  3 Tm 2.73, 3 Sm 2.85
Sm  0.8345  0.6691  0.6690  6 S 2.82-2.85
S  0.6711  0.0750  0.3422  3 Tm 2.71, 2 Sm 2.83, 1 Ce 2.86

Output
Its uncorrected formation energy is -192.0 kJ per mole of atoms. The total magnetization comes out at 0.985 μB/f.u. The value obtained for the density of states at the Fermi level is 0.781 states/eV/atom.


VASP calculation (PBE-GGA) on a relaxed structure of ThTlI6.

abc: 7.8567 7.8619 8.5095
angles: 62.48 62.48 60.02
Last column: nearest neighbours and their distance in Å.
Positions (direct):
I  0.0665  0.4100  0.7573  1 Th 3.08, 1 Tl 3.31
I  0.2339  0.9329  0.2428  1 Th 3.08, 1 Tl 3.31
Th  0.0000  0.0000  0.0000  6 I 3.08
Tl  0.5000  0.5000  0.5000  6 I 3.31
I  0.9335  0.5900  0.2427  1 Th 3.08, 1 Tl 3.31
I  0.5903  0.2338  0.2428  1 Th 3.08, 1 Tl 3.31
I  0.4097  0.7662  0.7572  1 Th 3.08, 1 Tl 3.31
I  0.7661  0.0671  0.7572  1 Th 3.08, 1 Tl 3.31

Output
Its relative energy among the computed polymorphs is 0.00 eV per formula unit. Its uncorrected formation energy is -81.8 kJ per mole of atoms. The total magnetization comes out at 0.000 μB/f.u. The value obtained for the density of states at the Fermi level is 0.698 states/eV/atom.


VASP calculation (PBE-GGA) on a relaxed structure of InAg3Br6Cl2.

abc: 6.3613 8.0382 7.8553
angles: 120.77 96.02 90.00
Last column: nearest neighbours and their distance in Å.
Positions (direct):
Br  0.2577  0.1435  0.8009  1 Ag 2.70, 1 In 2.74
Br  0.2577  0.6574  0.8009  1 Ag 2.70, 1 In 2.74
In  0.5000  0.0000  0.0000  6 Br 2.70-2.74
Br  0.7423  0.8565  0.1991  1 Ag 2.70, 1 In 2.74
Br  0.7423  0.3426  0.1991  1 Ag 2.70, 1 In 2.74
Cl  0.7562  0.3477  0.6954  1 Ag 2.42
Ag  0.5000  0.5000  0.5000  4 Br 2.70-2.77, 2 Cl 2.81
Ag  0.5000  0.0000  0.5000  4 Br 2.70-2.77, 2 Cl 2.81
Cl  0.2438  0.6523  0.3046  1 Ag 2.42
Br  0.2578  0.1508  0.3017  1 In 2.70, 2 Ag 2.77
Ag  0.0000  0.5000  0.0000  2 Cl 2.42
Br  0.7422  0.8492  0.6983  1 In 2.70, 2 Ag 2.77

Output
Its uncorrected formation energy is -42.3 kJ per mole of atoms. The total magnetization comes out at 0.000 μB/f.u. The value obtained for the density of states at the Fermi level is 0.842 states/eV/atom.


VASP calculation (PBE-GGA) on a relaxed structure of La6Sn3N2.

abc: 4.9940 4.9940 13.6850
angles: 100.51 100.51 90.00
Last column: nearest neighbours and their distance in Å.
Positions (direct):
La  0.6947  0.6947  0.3893  1 N 2.33
La  0.3053  0.3053  0.6107  1 N 2.33
N  0.6066  0.6066  0.2131  5 La 2.33-2.56
Sn  0.1754  0.1754  0.3507  9 La 3.44-3.57
Sn  0.8246  0.8246  0.6493  9 La 3.44-3.57
Sn  0.0000  0.0000  0.0000  8 La 3.37
La  0.5854  0.0854  0.1707  2 N 2.56
La  0.9146  0.4146  0.8293  2 N 2.56
La  0.4146  0.9146  0.8293  2 N 2.56
N  0.3934  0.3934  0.7869  5 La 2.33-2.56
La  0.0854  0.5854  0.1707  2 N 2.56

Output
Its uncorrected formation energy is -95.8 kJ per mole of atoms. The total magnetization comes out at 0.000 μB/f.u. The value obtained for the density of states at the Fermi level is 0.193 states/eV/atom.


VASP calculation (PBE-GGA) on a relaxed structure of BeZnSn2.

abc: 8.7156 8.7156 6.5675
angles: 48.43 48.43 90.00
Last column: nearest neighbours and their distance in Å.
Positions (direct):
Sn  0.8750  0.7634  0.7500  2 Be 2.55
Be  0.2500  0.7500  0.5000  2 Zn 2.27
Be  0.5000  0.5000  0.0000  2 Zn 2.27
Sn  0.3750  0.4866  0.7500  2 Be 2.55
Sn  0.5134  0.1250  0.2500  2 Be 2.55
Zn  0.0000  0.0000  0.0000  2 Be 2.27
Zn  0.7500  0.2500  0.5000  2 Be 2.27
Sn  0.2366  0.6250  0.2500  2 Be 2.55

Output
Its relative energy among the computed polymorphs is 0.00 eV per formula unit. The total magnetization comes out at 0.000 μB/f.u. The value obtained for the density of states at the Fermi level is 0.182 states/eV/atom. The value obtained for the formation energy is 0.2068 eV per atom.